VASP calculation (PBE) on Tm3Mg5H12 after structural relaxation.

The structure in POSCAR format:
```
Tm3Mg5H12
1.0
-6.0291 6.0291 6.0291
6.0291 -6.0291 6.0291
6.0291 6.0291 -6.0291
Tm Mg H
12 20 48
direct
0.1250 0.2500 0.3750
0.1250 0.3750 0.7500
0.2500 0.3750 0.1250
0.2500 0.8750 0.6250
0.3750 0.1250 0.2500
0.3750 0.7500 0.1250
0.6250 0.2500 0.8750
0.6250 0.8750 0.7500
0.7500 0.1250 0.3750
0.7500 0.6250 0.8750
0.8750 0.6250 0.2500
0.8750 0.7500 0.6250
0.0000 0.0000 0.0000
0.0000 0.0000 0.5000
0.0000 0.5000 0.0000
0.0000 0.5000 0.5000
0.1250 0.7500 0.8750
0.1250 0.8750 0.2500
0.2500 0.1250 0.8750
0.2500 0.6250 0.3750
0.3750 0.2500 0.6250
0.3750 0.6250 0.7500
0.5000 0.0000 0.0000
0.5000 0.0000 0.5000
0.5000 0.5000 0.0000
0.5000 0.5000 0.5000
0.6250 0.3750 0.2500
0.6250 0.7500 0.3750
0.7500 0.3750 0.6250
0.7500 0.8750 0.1250
0.8750 0.1250 0.7500
0.8750 0.2500 0.1250
0.0524 0.2207 0.1397
0.0524 0.3317 0.9127
0.0810 0.7207 0.6683
0.0810 0.8603 0.4127
0.0873 0.6397 0.4190
0.0873 0.9476 0.6683
0.1397 0.0524 0.2207
0.1397 0.5873 0.9190
0.1683 0.2207 0.5810
0.1683 0.4476 0.5873
0.2207 0.1397 0.0524
0.2207 0.5810 0.1683
0.2793 0.3317 0.9190
0.2793 0.4476 0.3603
0.3317 0.9127 0.0524
0.3317 0.9190 0.2793
0.3603 0.2793 0.4476
0.3603 0.5810 0.9127
0.4127 0.0810 0.8603
0.4127 0.8317 0.5524
0.4190 0.0873 0.6397
0.4190 0.8317 0.7793
0.4476 0.3603 0.2793
0.4476 0.5873 0.1683
0.5524 0.4127 0.8317
0.5524 0.6397 0.7207
0.5810 0.1683 0.2207
0.5810 0.9127 0.3603
0.5873 0.1683 0.4476
0.5873 0.9190 0.1397
0.6397 0.4190 0.0873
0.6397 0.7207 0.5524
0.6683 0.0810 0.7207
0.6683 0.0873 0.9476
0.7207 0.5524 0.6397
0.7207 0.6683 0.0810
0.7793 0.4190 0.8317
0.7793 0.8603 0.9476
0.8317 0.5524 0.4127
0.8317 0.7793 0.4190
0.8603 0.4127 0.0810
0.8603 0.9476 0.7793
0.9127 0.0524 0.3317
0.9127 0.3603 0.5810
0.9190 0.1397 0.5873
0.9190 0.2793 0.3317
0.9476 0.6683 0.0873
0.9476 0.7793 0.8603
```

## Properties
- VASP energy (eV per cell) = -264.51
- D(E_F) (states/eV per atom) = 0.24